VASP calculation (GGA-PBE) on a relaxed CoTeSe crystal. Values from VASP.

```
&SYSTEM
  ibrav = 0, nat = 6, ntyp = 3
/
ATOMIC_SPECIES
Co 58.93 Co.upf
Te 127.60 Te.upf
Se 78.96 Se.upf
ATOMIC_POSITIONS angstrom
Co 0.0000 0.0000 0.0000
Co 1.5173 1.5173 6.8473
Te 0.0000 0.0000 8.9735
Te 1.5173 1.5173 2.1262
Se 0.0000 0.0000 5.6577
Se 1.5173 1.5173 12.5050
CELL_PARAMETERS angstrom
3.0345 0.0000 0.0000
0.0000 3.0345 0.0000
0.0000 0.0000 13.6946
```

- Space group: I4mm (107)
- Distance to the lowest polymorph of the same formula: 397 meV per atom
- Size of the total moment: 0.0 μB per formula unit
- Formation energy from raw total energies: 0.500 eV per formula unit



VASP calculation (GGA-PBE) on a relaxed NdHoCdOs crystal. Values from VASP.

```
&SYSTEM
  ibrav = 0, nat = 16, ntyp = 4
/
ATOMIC_SPECIES
Nd 144.24 Nd.upf
Ho 164.93 Ho.upf
Cd 112.41 Cd.upf
Os 190.23 Os.upf
ATOMIC_POSITIONS angstrom
Nd 0.0000 0.0000 0.0000
Nd 0.0000 3.5987 3.5987
Nd 3.5987 0.0000 3.5987
Nd 3.5987 3.5987 0.0000
Ho 0.0000 0.0000 3.5987
Ho 0.0000 3.5987 0.0000
Ho 3.5987 0.0000 0.0000
Ho 3.5987 3.5987 3.5987
Cd 1.7994 1.7994 1.7994
Cd 1.7994 5.3981 5.3981
Cd 5.3981 1.7994 5.3981
Cd 5.3981 5.3981 1.7994
Os 1.7994 1.7994 5.3981
Os 1.7994 5.3981 1.7994
Os 5.3981 1.7994 1.7994
Os 5.3981 5.3981 5.3981
CELL_PARAMETERS angstrom
7.1975 0.0000 0.0000
0.0000 7.1975 0.0000
0.0000 0.0000 7.1975
```

- Space group: F-43m (216)
- Size of the total moment: 0.0 μB per formula unit
- ΔE_f: -0.13 eV/atom



VASP calculation (GGA-PBE) on a relaxed PmCdSi2 crystal. Values from VASP.

```
&SYSTEM
  ibrav = 0, nat = 4, ntyp = 3
/
ATOMIC_SPECIES
Pm 145.00 Pm.upf
Cd 112.41 Cd.upf
Si 28.09 Si.upf
ATOMIC_POSITIONS angstrom
Pm 0.0000 0.0000 0.0000
Cd 2.2394 2.2394 0.0000
Si 0.0000 2.2394 2.0648
Si 2.2394 0.0000 2.0648
CELL_PARAMETERS angstrom
4.4787 0.0000 0.0000
0.0000 4.4787 0.0000
0.0000 0.0000 4.1296
```

- Space group: P4/mmm (123)
- Distance to the lowest polymorph of the same formula: 0 meV per atom
- Size of the total moment: 0.0 μB per formula unit
- Formation energy from raw total energies: -0.897 eV per formula unit